This record from Alexandria describes Cu2NiPt after structural relaxation. The functional is PBE.

Properties
Crystal system: monoclinic
Spin magnetization, μB per atom: 0.129
Volume, Å³ per atom: 12.78
Formation energy, eV/atom: -0.057
Space group: Cm

a = 4.5097 Å, b = 4.5097 Å, c = 4.4862 Å
α = 79.18°, β = 79.18°, γ = 34.84°
Fractional positions:
Cu 0.0015 0.0015 0.9867
Pt 0.2477 0.2477 0.2597
Ni 0.4991 0.4991 0.4981
Cu 0.7517 0.7517 0.7556

---

This record from Alexandria describes Cu2NiPt after structural relaxation. The functional is PBE.

Properties
Crystal system: orthorhombic
Spin magnetization, μB per atom: 0.091
Volume, Å³ per atom: 13.05
Formation energy, eV/atom: 0.047
Space group: Cmm2

a = 2.6119 Å, b = 2.6119 Å, c = 8.6354 Å
α = 90.00°, β = 90.00°, γ = 117.58°
Fractional positions:
Cu 0.0000 0.0000 0.0117
Pt 0.5000 0.5000 0.7480
Ni 0.0000 0.0000 0.4877
Cu 0.5000 0.5000 0.2525